The following is a DFT calculation (GGA-PBE) of Hf6AlIn after structural relaxation.

Output
DFT total energy = -7.94 eV per atom
E above lowest polymorph = 0.526 eV per atom
SG = C2/m, No. 12
ΔH_f (0 K) = 0.340 eV/atom

The structure in extended XYZ format:
```
8
Lattice="3.120 -5.522 0.000 3.120 5.522 0.000 -2.864 0.000 5.277" Properties=species:S:1:pos:R:3 pbc="T T T"
Hf 0.967 3.011 3.927
Hf 2.409 3.011 1.350
Hf 0.919 0.000 3.923
Hf 2.456 0.000 1.354
Hf 0.967 -3.011 3.927
Hf 2.409 -3.011 1.350
Al -1.432 0.000 2.639
In 0.000 0.000 0.000
```

***

The following is a DFT calculation (GGA-PBE) of Hf6Al3In after structural relaxation.

Output
DFT total energy = -7.40 eV per atom
SG = P2_1/c, No. 14
ΔH_f (0 K) = -0.036 eV/atom

The structure in extended XYZ format:
```
20
Lattice="7.762 0.000 0.000 0.000 7.042 0.000 -7.381 0.000 7.774" Properties=species:S:1:pos:R:3 pbc="T T T"
Hf -1.841 0.943 2.363
Hf -5.531 2.578 6.250
Hf -3.122 1.171 5.164
Hf 0.568 2.351 1.276
Hf -3.110 4.407 6.534
Hf 0.581 6.156 2.646
Hf -0.200 0.886 5.128
Hf 3.491 2.635 1.241
Hf -0.187 4.692 6.498
Hf 3.503 5.872 2.611
Hf 5.912 4.464 1.524
Hf 2.222 6.099 5.412
Al 0.000 0.000 0.000
Al -3.691 3.521 3.887
Al 1.788 4.820 0.347
Al -1.902 5.744 4.234
Al 2.283 1.299 3.540
Al -1.407 2.222 7.427
In 3.881 0.000 0.000
In 0.191 3.521 3.887
```